<a>
A plane-wave DFT calculation with PBE was carried out for a geometry-optimized SrTeWN2 structure.

Computed properties:
M_tot = 0.00 μB per cell

Lattice parameters (Å, degrees): 4.152 4.152 5.576 90.00 90.00 90.00
Fractional positions:
1 Sr 0.500 0.500 0.500
2 Te 0.000 0.000 0.500
3 W 0.000 0.000 0.000
4 N 0.000 0.500 0.000
5 N 0.500 0.000 0.000

***

<b>
A plane-wave DFT calculation with PBE was carried out for a geometry-optimized SrTeWN2 structure.

Computed properties:
M_tot = 0.22 μB per cell

Lattice parameters (Å, degrees): 4.266 4.266 6.165 90.00 90.00 90.00
Site moments in Bohr magnetons follow the coordinates.
Fractional positions:
1 Sr 0.000 0.000 0.000  0.00
2 Te 0.000 0.000 0.500  0.00
3 W 0.500 0.500 0.500  0.02
4 N 0.000 0.500 0.000  0.07
5 N 0.500 0.000 0.000  0.07

***

Which of them is the least stable? Correct choice: <b>.

***

<a>
A plane-wave DFT calculation with PBE was carried out for a geometry-optimized SrYTeN2 structure.

Computed properties:
M_tot = 1.23 μB per cell

Lattice parameters (Å, degrees): 4.491 4.491 6.189 90.00 90.00 90.00
Site moments in Bohr magnetons follow the coordinates.
Fractional positions:
1 Y 0.500 0.500 0.500  -0.08
2 Sr 0.000 0.000 0.000  -0.02
3 Te 0.000 0.000 0.500  0.03
4 N 0.000 0.500 0.000  0.46
5 N 0.500 0.000 0.000  0.46

***

<b>
A plane-wave DFT calculation with PBE was carried out for a geometry-optimized SrYTeN2 structure.

Computed properties:
M_tot = 3.00 μB per cell

Lattice parameters (Å, degrees): 4.645 4.645 6.086 90.00 90.00 90.00
Site moments in Bohr magnetons follow the coordinates.
Fractional positions:
1 Y 0.000 0.000 0.000  -0.02
2 Sr 0.500 0.500 0.500  0.00
3 Te 0.000 0.000 0.500  0.12
4 N 0.000 0.500 0.000  0.95
5 N 0.500 0.000 0.000  0.95

***

Which of them is the least stable? Correct choice: <a>.

***

<a>
A plane-wave DFT calculation with PBE was carried out for a geometry-optimized SrZnTe2N structure.

Computed properties:
M_tot = 2.16 μB per cell

Lattice parameters (Å, degrees): 5.913 5.913 3.774 90.00 90.00 90.00
Site moments in Bohr magnetons follow the coordinates.
Fractional positions:
1 Sr 0.500 0.500 0.500  0.00
2 Zn 0.000 0.000 0.000  0.06
3 Te 0.000 0.500 0.000  0.20
4 Te 0.500 0.000 0.000  0.20
5 N 0.000 0.000 0.500  0.99

***

<b>
A plane-wave DFT calculation with PBE was carried out for a geometry-optimized SrZnTe2N structure.

Computed properties:
M_tot = 3.17 μB per cell

Lattice parameters (Å, degrees): 6.304 6.304 4.867 90.00 90.00 90.00
Site moments in Bohr magnetons follow the coordinates.
Fractional positions:
1 Sr 0.000 0.000 0.000  0.02
2 Zn 0.500 0.500 0.500  -0.01
3 Te 0.000 0.500 0.000  0.27
4 Te 0.500 0.000 0.000  0.27
5 N 0.000 0.000 0.500  1.39

***

Which of them is the least stable? Correct choice: <b>.

***

<a>
A plane-wave DFT calculation with PBE was carried out for a geometry-optimized SrZnTeN2 structure.

Computed properties:
M_tot = 4.51 μB per cell

Lattice parameters (Å, degrees): 4.824 4.824 6.811 90.00 90.00 90.00
Site moments in Bohr magnetons follow the coordinates.
Fractional positions:
1 Sr 0.000 0.000 0.000  0.05
2 Zn 0.500 0.500 0.500  0.01
3 Te 0.000 0.000 0.500  0.07
4 N 0.000 0.500 0.000  1.39
5 N 0.500 0.000 0.000  1.39

***

<b>
A plane-wave DFT calculation with PBE was carried out for a geometry-optimized SrZnTeN2 structure.

Computed properties:
M_tot = 3.86 μB per cell

Lattice parameters (Å, degrees): 4.442 4.442 5.485 90.00 90.00 90.00
Site moments in Bohr magnetons follow the coordinates.
Fractional positions:
1 Sr 0.500 0.500 0.500  0.01
2 Zn 0.000 0.000 0.000  0.04
3 Te 0.000 0.000 0.500  0.20
4 N 0.000 0.500 0.000  1.18
5 N 0.500 0.000 0.000  1.18

***

Which of them is the least stable? Correct choice: <a>.